Record 1
Here is a relaxed structure of Ca2HgOsO6 from the Alexandria database. Energies are from GGA-PBE.

a = 5.8004 Å, b = 5.8004 Å, c = 15.7118 Å
α = 90.00°, β = 90.00°, γ = 120.00°
Space group R3 (No. 146, hexagonal axes)
Inequivalent atoms, fractional coordinates:
1 Ca 0.0000 0.0000 0.0000 [3 per cell]
2 Ca 0.0000 0.0000 0.4830 [3 per cell]
3 Hg 0.0000 0.0000 0.2594 [3 per cell]
4 Os 0.0000 0.0000 0.6810 [3 per cell]
5 O 0.0326 0.7569 0.6001 [9 per cell]
6 O 0.0555 0.3814 0.4068 [9 per cell]


Record 2
Here is a relaxed structure of CaHgOs2O8 from the Alexandria database. Energies are from GGA-PBE.

a = 6.5892 Å, b = 6.5892 Å, c = 7.8362 Å
α = 90.00°, β = 90.00°, γ = 120.00°
Space group P-3m1 (No. 164)
Inequivalent atoms, fractional coordinates:
1 Ca 0.0000 0.0000 0.0000 [1 per cell]
2 Hg 0.0000 0.0000 0.5000 [1 per cell]
3 Os 0.3333 0.6667 0.9185 [2 per cell]
4 O 0.1846 0.3693 0.8522 [6 per cell]
5 O 0.3333 0.6667 0.1408 [2 per cell]


Record 3
Here is a relaxed structure of CaHgP2O8 from the Alexandria database. Energies are from GGA-PBE.

a = 5.3712 Å, b = 5.3712 Å, c = 7.1458 Å
α = 90.00°, β = 90.00°, γ = 120.00°
Space group P-3m1 (No. 164)
Inequivalent atoms, fractional coordinates:
1 Ca 0.0000 0.0000 0.0000 [1 per cell]
2 Hg 0.0000 0.0000 0.5000 [1 per cell]
3 P 0.3333 0.6667 0.7955 [2 per cell]
4 O 0.1734 0.3469 0.7359 [6 per cell]
5 O 0.3333 0.6667 0.0124 [2 per cell]


Record 4
Here is a relaxed structure of CaHg2P2O7 from the Alexandria database. Energies are from GGA-PBE.

a = 5.4363 Å, b = 5.4363 Å, c = 21.0586 Å
α = 90.00°, β = 90.00°, γ = 120.00°
Space group R32 (No. 155, hexagonal axes)
Inequivalent atoms, fractional coordinates:
1 Ca 0.0000 0.0000 0.0000 [3 per cell]
2 Hg 0.0000 0.0000 0.1934 [6 per cell]
3 P 0.0000 0.0000 0.4231 [6 per cell]
4 O 0.0000 0.0000 0.5000 [3 per cell]
5 O 0.0326 0.2870 0.5962 [18 per cell]


Record 5
Here is a relaxed structure of CaPaHgO5 from the Alexandria database. Energies are from GGA-PBE.

a = 7.895 Å, b = 9.824 Å, c = 7.761 Å
α = 90.00°, β = 114.59°, γ = 90.00°
Space group C2/c (No. 15)
Inequivalent atoms, fractional coordinates:
1 Ca 0.000 0.058 0.250 [4 per cell]
2 Pa 0.250 0.250 0.000 [4 per cell]
3 Hg 0.000 0.470 0.250 [4 per cell]
4 O 0.000 0.191 0.750 [4 per cell]
5 O 0.089 0.261 0.145 [8 per cell]
6 O 0.231 0.024 0.049 [8 per cell]


Record 6
Here is a relaxed structure of CaPu2HgO8 from the Alexandria database. Energies are from GGA-PBE.

a = 5.424 Å, b = 5.424 Å, c = 10.467 Å
α = 90.00°, β = 90.00°, γ = 90.00°
Space group I-4m2 (No. 119)
Inequivalent atoms, fractional coordinates:
1 Ca 0.000 0.000 0.000 [2 per cell]
2 Pu 0.000 0.000 0.500 [2 per cell]
3 Pu 0.000 0.500 0.750 [2 per cell]
4 Hg 0.000 0.500 0.250 [2 per cell]
5 O 0.221 0.252 0.624 [16 per cell]


Record 7
Here is a relaxed structure of CaPuHg2O6 from the Alexandria database. Energies are from GGA-PBE.

a = 5.8556 Å, b = 5.8556 Å, c = 15.1406 Å
α = 90.00°, β = 90.00°, γ = 120.00°
Space group R-3 (No. 148, hexagonal axes)
Inequivalent atoms, fractional coordinates:
1 Ca 0.0000 0.0000 0.0000 [3 per cell]
2 Pu 0.0000 0.0000 0.5000 [3 per cell]
3 Hg 0.0000 0.0000 0.2580 [6 per cell]
4 O 0.0301 0.3941 0.2474 [18 per cell]


Record 8
Here is a relaxed structure of Ca2HgRh3O8 from the Alexandria database. Energies are from GGA-PBE.

a = 6.4265 Å, b = 6.4265 Å, c = 15.9759 Å
α = 90.00°, β = 90.00°, γ = 120.00°
Space group R3m (No. 160, hexagonal axes)
Inequivalent atoms, fractional coordinates:
1 Ca 0.0000 0.0000 0.0000 [3 per cell]
2 Ca 0.0000 0.0000 0.3791 [3 per cell]
3 Hg 0.0000 0.0000 0.7604 [3 per cell]
4 Rh 0.0018 0.5009 0.8808 [9 per cell]
5 O 0.0000 0.0000 0.1494 [3 per cell]
6 O 0.0000 0.0000 0.6104 [3 per cell]
7 O 0.0414 0.5207 0.1477 [9 per cell]
8 O 0.1832 0.3665 0.9461 [9 per cell]


Record 9
Here is a relaxed structure of Ca2Hg2RhO6 from the Alexandria database. Energies are from GGA-PBE.

a = 5.766 Å, b = 10.330 Å, c = 6.010 Å
α = 90.00°, β = 91.57°, γ = 90.00°
Space group C2/m (No. 12)
Inequivalent atoms, fractional coordinates:
1 Ca 0.000 0.158 0.000 [4 per cell]
2 Hg 0.000 0.352 0.500 [4 per cell]
3 Rh 0.000 0.500 0.000 [2 per cell]
4 O 0.142 0.350 0.188 [8 per cell]
5 O 0.219 0.000 0.182 [4 per cell]


Record 10
Here is a relaxed structure of Ca2HgRuO6 from the Alexandria database. Energies are from GGA-PBE.

a = 5.7449 Å, b = 5.7449 Å, c = 15.7726 Å
α = 90.00°, β = 90.00°, γ = 120.00°
Space group R3 (No. 146, hexagonal axes)
Inequivalent atoms, fractional coordinates:
1 Ca 0.0000 0.0000 0.0000 [3 per cell]
2 Ca 0.0000 0.0000 0.4886 [3 per cell]
3 Hg 0.0000 0.0000 0.2606 [3 per cell]
4 Ru 0.0000 0.0000 0.6880 [3 per cell]
5 O 0.0161 0.7404 0.6016 [9 per cell]
6 O 0.0490 0.3796 0.4112 [9 per cell]


Record 11
Here is a relaxed structure of CaHgSO4 from the Alexandria database. Energies are from GGA-PBE.

a = 5.319 Å, b = 7.623 Å, c = 12.616 Å
α = 90.00°, β = 90.00°, γ = 90.00°
Space group Imma (No. 74)
Inequivalent atoms, fractional coordinates:
1 Ca 0.000 0.000 0.000 [4 per cell]
2 Hg 0.250 0.250 0.250 [4 per cell]
3 S 0.000 0.250 0.577 [4 per cell]
4 O 0.000 0.086 0.638 [8 per cell]
5 O 0.234 0.250 0.506 [8 per cell]


Record 12
Here is a relaxed structure of CaHgS2O8 from the Alexandria database. Energies are from GGA-PBE.

a = 5.2516 Å, b = 5.2516 Å, c = 7.3469 Å
α = 90.00°, β = 90.00°, γ = 120.00°
Space group P-3 (No. 147)
Inequivalent atoms, fractional coordinates:
1 Ca 0.0000 0.0000 0.0000 [1 per cell]
2 Hg 0.0000 0.0000 0.5000 [1 per cell]
3 S 0.3333 0.6667 0.8028 [2 per cell]
4 O 0.1715 0.3544 0.7384 [6 per cell]
5 O 0.3333 0.6667 0.0033 [2 per cell]


Record 13
Here is a relaxed structure of CaHgSeO4 from the Alexandria database. Energies are from GGA-PBE.

a = 6.196 Å, b = 7.343 Å, c = 9.377 Å
α = 90.00°, β = 90.00°, γ = 90.00°
Space group Imma (No. 74)
Inequivalent atoms, fractional coordinates:
1 Ca 0.000 0.000 0.000 [4 per cell]
2 Hg 0.250 0.250 0.250 [4 per cell]
3 Se 0.000 0.250 0.659 [4 per cell]
4 O 0.000 0.016 0.248 [8 per cell]
5 O 0.225 0.250 0.545 [8 per cell]


Record 14
Here is a relaxed structure of CaHgSe2O8 from the Alexandria database. Energies are from GGA-PBE.

a = 5.1849 Å, b = 5.1849 Å, c = 21.6156 Å
α = 90.00°, β = 90.00°, γ = 120.00°
Space group R-3 (No. 148, hexagonal axes)
Inequivalent atoms, fractional coordinates:
1 Ca 0.0000 0.0000 0.0000 [3 per cell]
2 Hg 0.0000 0.0000 0.5000 [3 per cell]
3 Se 0.0000 0.0000 0.2559 [6 per cell]
4 O 0.0000 0.0000 0.3330 [6 per cell]
5 O 0.0018 0.6185 0.4340 [18 per cell]


Record 15
Here is a relaxed structure of Ca4SnHgO from the Alexandria database. Energies are from GGA-PBE.

a = 6.632 Å, b = 17.523 Å, c = 6.517 Å
α = 90.00°, β = 90.00°, γ = 90.00°
Space group Cmcm (No. 63)
Inequivalent atoms, fractional coordinates:
1 Ca 0.000 0.063 0.250 [4 per cell]
2 Ca 0.000 0.409 0.250 [4 per cell]
3 Ca 0.250 0.250 0.000 [8 per cell]
4 Sn 0.000 0.117 0.750 [4 per cell]
5 Hg 0.000 0.399 0.750 [4 per cell]
6 O 0.000 0.273 0.250 [4 per cell]


Record 16
Here is a relaxed structure of SrCa2HgO from the Alexandria database. Energies are from GGA-PBE.

a = 4.791 Å, b = 4.791 Å, c = 5.417 Å
α = 90.00°, β = 90.00°, γ = 90.00°
Space group P4/mmm (No. 123)
Inequivalent atoms, fractional coordinates:
1 Sr 0.000 0.000 0.000 [1 per cell]
2 Ca 0.000 0.500 0.500 [2 per cell]
3 Hg 0.500 0.500 0.000 [1 per cell]
4 O 0.000 0.000 0.500 [1 per cell]


Record 17
Here is a relaxed structure of Sr2CaHgO4 from the Alexandria database. Energies are from GGA-PBE.

a = 6.138 Å, b = 3.592 Å, c = 6.219 Å
α = 90.00°, β = 110.44°, γ = 90.00°
Space group P2/m (No. 10)
Inequivalent atoms, fractional coordinates:
1 Sr 0.000 0.000 0.000 [1 per cell]
2 Sr 0.000 0.500 0.500 [1 per cell]
3 Ca 0.500 0.000 0.500 [1 per cell]
4 Hg 0.500 0.500 0.000 [1 per cell]
5 O 0.255 0.500 0.266 [2 per cell]
6 O 0.256 0.000 0.744 [2 per cell]


Record 18
Here is a relaxed structure of SrCa2HgO4 from the Alexandria database. Energies are from GGA-PBE.

a = 3.462 Å, b = 12.060 Å, c = 12.356 Å
α = 90.00°, β = 90.00°, γ = 90.00°
Space group Cmcm (No. 63)
Inequivalent atoms, fractional coordinates:
1 Sr 0.000 0.146 0.250 [4 per cell]
2 Ca 0.000 0.372 0.029 [8 per cell]
3 Hg 0.000 0.119 0.750 [4 per cell]
4 O 0.000 0.000 0.000 [4 per cell]
5 O 0.000 0.251 0.616 [8 per cell]
6 O 0.000 0.499 0.750 [4 per cell]


Record 19
Here is a relaxed structure of CaTi2HgO6 from the Alexandria database. Energies are from GGA-PBE.

a = 9.725 Å, b = 10.804 Å, c = 6.303 Å
α = 90.00°, β = 114.94°, γ = 90.00°
Space group C2/c (No. 15)
Inequivalent atoms, fractional coordinates:
1 Ca 0.000 0.092 0.250 [4 per cell]
2 Ti 0.156 0.423 0.203 [8 per cell]
3 Hg 0.000 0.246 0.750 [4 per cell]
4 O 0.112 0.259 0.114 [8 per cell]
5 O 0.114 0.459 0.462 [8 per cell]
6 O 0.141 0.067 0.661 [8 per cell]


Record 20
Here is a relaxed structure of Ca2TlHgO4 from the Alexandria database. Energies are from GGA-PBE.

a = 5.964 Å, b = 3.524 Å, c = 6.097 Å
α = 90.00°, β = 109.99°, γ = 90.00°
Space group P2/m (No. 10)
Inequivalent atoms, fractional coordinates:
1 Ca 0.000 0.000 0.000 [1 per cell]
2 Ca 0.000 0.500 0.500 [1 per cell]
3 Tl 0.500 0.000 0.500 [1 per cell]
4 Hg 0.500 0.500 0.000 [1 per cell]
5 O 0.230 0.500 0.244 [2 per cell]
6 O 0.231 0.000 0.744 [2 per cell]


| no. | formation energy (no corrections) (eV/atom) | volume (Å³/cell) |
| --- | --- | --- |
| 1 | -1.70 | 458 |
| 2 | -1.17 | 295 |
| 3 | -1.75 | 179 |
| 4 | -1.86 | 539 |
| 5 | -2.27 | 547 |
| 6 | -2.09 | 308 |
| 7 | -1.71 | 450 |
| 8 | -1.32 | 571 |
| 9 | -1.39 | 358 |
| 10 | -1.60 | 451 |
| 11 | -1.66 | 512 |
| 12 | -1.54 | 175 |
| 13 | -1.14 | 427 |
| 14 | -0.98 | 503 |
| 15 | -1.16 | 757 |
| 16 | -1.34 | 124 |
| 17 | -2.15 | 128 |
| 18 | -2.11 | 516 |
| 19 | -2.52 | 600 |
| 20 | -1.61 | 120 |